Compound: Ba2SF
Source: Alexandria
Functional: GGA-PBE
Structure: relaxed

Summary:
Space group: I-42d (122)
Energy relative to the elements, uncorrected (eV/atom): -2.171
ρ (g/cm³): 3.61
E above lowest polymorph (kJ/mol of atoms): 13.40
Total DFT energy (no corrections) (Ry per atom): -0.3404
Calculated volume (Å³ per atom): 37.4

Geometry as POSCAR:
```
Ba2SF
1.0
6.6870 0.0000 0.0000
0.0000 6.6870 0.0000
0.0000 0.0000 13.3839
Ba S F
8 4 4
Direct
0.2205 0.2500 0.1250
0.2500 0.7205 0.3750
0.2500 0.7795 0.8750
0.2795 0.2500 0.6250
0.7205 0.7500 0.6250
0.7500 0.2205 0.8750
0.7500 0.2795 0.3750
0.7795 0.7500 0.1250
0.0000 0.0000 0.5000
0.0000 0.5000 0.7500
0.5000 0.0000 0.2500
0.5000 0.5000 0.0000
0.0000 0.0000 0.0000
0.0000 0.5000 0.2500
0.5000 0.0000 0.7500
0.5000 0.5000 0.5000
```